# 1
Here is a relaxed CePm2YCo2 crystal from the Alexandria database. Energies are from GGA-PBE.

E_form, eV per atom: -0.11

CIF file:
```
data_CePm2YCo2
_space_group_name_H-M_alt 'I b a m'
_space_group_IT_number 72
_space_group_name_Hall '-I 2 2c'
_cell_length_a 6.868
_cell_length_b 12.836
_cell_length_c 6.722
_cell_angle_alpha 90.00
_cell_angle_beta 90.00
_cell_angle_gamma 90.00
loop_
_atom_site_label
_atom_site_type_symbol
_atom_site_fract_x
_atom_site_fract_y
_atom_site_fract_z
_atom_site_occupancy
Ce1 Ce 0.000 0.000 0.250 1
Pm1 Pm 0.206 0.201 0.000 1
Y1 Y 0.000 0.500 0.250 1
Co1 Co 0.212 0.093 0.500 1
```

=====

# 2
Here is a relaxed Cs5TiSe5 crystal from the Alexandria database. Energies are from GGA-PBE.

Energy relative to the elements, uncorrected, kJ per mole of atoms: -88.4

CIF file:
```
data_Cs5TiSe5
_space_group_name_H-M_alt 'C 1 2/m 1'
_space_group_IT_number 12
_cell_length_a 15.873
_cell_length_b 6.713
_cell_length_c 9.421
_cell_angle_alpha 90.00
_cell_angle_beta 110.33
_cell_angle_gamma 90.00
loop_
_space_group_symop_operation_xyz
'x,y,z'
'-x,-y,-z'
'-x,y,-z'
'x,-y,z'
'x+1/2,y+1/2,z'
'-x+1/2,-y+1/2,-z'
'-x+1/2,y+1/2,-z'
'x+1/2,-y+1/2,z'
loop_
_atom_site_label
_atom_site_type_symbol
_atom_site_fract_x
_atom_site_fract_y
_atom_site_fract_z
_atom_site_occupancy
Cs1 Cs 0.000 0.000 0.000 1
Cs2 Cs 0.160 0.500 0.326 1
Cs3 Cs 0.197 0.500 0.795 1
Ti1 Ti 0.000 0.000 0.500 1
Se1 Se 0.000 0.500 0.500 1
Se2 Se 0.121 0.000 0.386 1
Se3 Se 0.123 0.000 0.760 1
```

=====

# 3
Here is a relaxed NiC crystal from the Alexandria database. Energies are from GGA-PBE.

E_form, eV per atom: 1.10

CIF file:
```
data_NiC
_space_group_name_H-M_alt 'F m -3 m'
_space_group_IT_number 225
_space_group_name_Hall '-F 4 2 3'
_cell_length_a 4.061
_cell_length_b 4.061
_cell_length_c 4.061
_cell_angle_alpha 90.00
_cell_angle_beta 90.00
_cell_angle_gamma 90.00
loop_
_atom_site_label
_atom_site_type_symbol
_atom_site_fract_x
_atom_site_fract_y
_atom_site_fract_z
_atom_site_occupancy
Ni1 Ni 0.000 0.000 0.000 1
C1 C 0.000 0.000 0.500 1
```

=====

# 4
Here is a relaxed SbPOs2 crystal from the Alexandria database. Energies are from GGA-PBE.

Energy relative to the elements, uncorrected, kJ per mole of atoms: 26.0
Relative energy among the computed polymorphs, meV/atom: 175

CIF file:
```
data_SbPOs2
_space_group_name_H-M_alt 'I m m 2'
_space_group_IT_number 44
_cell_length_a 3.029
_cell_length_b 3.236
_cell_length_c 13.629
_cell_angle_alpha 90.00
_cell_angle_beta 90.00
_cell_angle_gamma 90.00
loop_
_space_group_symop_operation_xyz
'x,y,z'
'-x,-y,z'
'-x,y,z'
'x,-y,z'
'x+1/2,y+1/2,z+1/2'
'-x+1/2,-y+1/2,z+1/2'
'-x+1/2,y+1/2,z+1/2'
'x+1/2,-y+1/2,z+1/2'
loop_
_atom_site_label
_atom_site_type_symbol
_atom_site_fract_x
_atom_site_fract_y
_atom_site_fract_z
_atom_site_occupancy
Sb1 Sb 0.000 0.000 0.000 1
P1 P 0.000 0.500 0.744 1
Os1 Os 0.000 0.000 0.377 1
Os2 Os 0.000 0.500 0.177 1
```

=====

# 5
Here is a relaxed InAgPRu2 crystal from the Alexandria database. Energies are from GGA-PBE.

E_form, eV per atom: 0.25

CIF file:
```
data_InAgPRu2
_space_group_name_H-M_alt 'P 4/m m m'
_space_group_IT_number 123
_space_group_name_Hall '-P 4 2'
_cell_length_a 4.414
_cell_length_b 4.414
_cell_length_c 4.618
_cell_angle_alpha 90.00
_cell_angle_beta 90.00
_cell_angle_gamma 90.00
loop_
_atom_site_label
_atom_site_type_symbol
_atom_site_fract_x
_atom_site_fract_y
_atom_site_fract_z
_atom_site_occupancy
In1 In 0.000 0.000 0.000 1
Ag1 Ag 0.500 0.500 0.000 1
P1 P 0.500 0.500 0.500 1
Ru1 Ru 0.000 0.500 0.500 1
```

=====

# 6
Here is a relaxed LiAcZnIr crystal from the Alexandria database. Energies are from GGA-PBE.

E_form, eV per atom: -0.20
Relative energy among the computed polymorphs, meV/atom: 198

CIF file:
```
data_LiAcZnIr
_space_group_name_H-M_alt 'F -4 3 m'
_space_group_IT_number 216
_space_group_name_Hall 'F -4 2 3'
_cell_length_a 6.941
_cell_length_b 6.941
_cell_length_c 6.941
_cell_angle_alpha 90.00
_cell_angle_beta 90.00
_cell_angle_gamma 90.00
loop_
_atom_site_label
_atom_site_type_symbol
_atom_site_fract_x
_atom_site_fract_y
_atom_site_fract_z
_atom_site_occupancy
Li1 Li 0.000 0.000 0.000 1
Ac1 Ac 0.250 0.250 0.750 1
Zn1 Zn 0.250 0.250 0.250 1
Ir1 Ir 0.000 0.000 0.500 1
```

=====

# 7
Here is a relaxed Mg2MnOs crystal from the Alexandria database. Energies are from GGA-PBE.

E_form, eV per atom: 0.75
Relative energy among the computed polymorphs, meV/atom: 669

CIF file:
```
data_Mg2MnOs
_space_group_name_H-M_alt 'I -4 2 d'
_space_group_IT_number 122
_space_group_name_Hall 'I -4 2bw'
_cell_length_a 7.233
_cell_length_b 7.233
_cell_length_c 5.389
_cell_angle_alpha 90.00
_cell_angle_beta 90.00
_cell_angle_gamma 90.00
loop_
_atom_site_label
_atom_site_type_symbol
_atom_site_fract_x
_atom_site_fract_y
_atom_site_fract_z
_atom_site_occupancy
Mg1 Mg 0.246 0.250 0.125 1
Mn1 Mn 0.000 0.000 0.500 1
Os1 Os 0.000 0.000 0.000 1
```

=====

# 8
Here is a relaxed VMoPt2 crystal from the Alexandria database. Energies are from GGA-PBE.

E_form, eV per atom: 0.16
Relative energy among the computed polymorphs, meV/atom: 582

CIF file:
```
data_VMoPt2
_space_group_name_H-M_alt 'I -4 2 d'
_space_group_IT_number 122
_space_group_name_Hall 'I -4 2bw'
_cell_length_a 7.046
_cell_length_b 7.046
_cell_length_c 5.279
_cell_angle_alpha 90.00
_cell_angle_beta 90.00
_cell_angle_gamma 90.00
loop_
_atom_site_label
_atom_site_type_symbol
_atom_site_fract_x
_atom_site_fract_y
_atom_site_fract_z
_atom_site_occupancy
V1 V 0.000 0.000 0.000 1
Mo1 Mo 0.000 0.000 0.500 1
Pt1 Pt 0.230 0.250 0.125 1
```

=====

# 9
Here is a relaxed Pu2Ni4GeSb3 crystal from the Alexandria database. Energies are from GGA-PBE.

Energy relative to the elements, uncorrected, kJ per mole of atoms: -43.7

CIF file:
```
data_Pu2Ni4GeSb3
_space_group_name_H-M_alt 'P -4 m 2'
_space_group_IT_number 115
_cell_length_a 4.359
_cell_length_b 4.359
_cell_length_c 9.906
_cell_angle_alpha 90.00
_cell_angle_beta 90.00
_cell_angle_gamma 90.00
loop_
_space_group_symop_operation_xyz
'x,y,z'
'y,-x,-z'
'-x,-y,z'
'-y,x,-z'
'-x,y,z'
'-y,-x,-z'
'x,-y,z'
'y,x,-z'
loop_
_atom_site_label
_atom_site_type_symbol
_atom_site_fract_x
_atom_site_fract_y
_atom_site_fract_z
_atom_site_occupancy
Pu1 Pu 0.000 0.500 0.249 1
Ni1 Ni 0.000 0.000 0.500 1
Ni2 Ni 0.000 0.500 0.883 1
Ni3 Ni 0.500 0.500 0.500 1
Ge1 Ge 0.500 0.500 0.000 1
Sb1 Sb 0.000 0.000 0.000 1
Sb2 Sb 0.000 0.500 0.634 1
```

=====

# 10
Here is a relaxed Er8ZnCu2 crystal from the Alexandria database. Energies are from GGA-PBE.

E_form, eV per atom: -0.01
Relative energy among the computed polymorphs, meV/atom: 138

CIF file:
```
data_Er8ZnCu2
_space_group_name_H-M_alt 'C 1 m 1'
_space_group_IT_number 8
_cell_length_a 8.467
_cell_length_b 13.387
_cell_length_c 5.338
_cell_angle_alpha 90.00
_cell_angle_beta 107.43
_cell_angle_gamma 90.00
loop_
_space_group_symop_operation_xyz
'x,y,z'
'x,-y,z'
'x+1/2,y+1/2,z'
'x+1/2,-y+1/2,z'
loop_
_atom_site_label
_atom_site_type_symbol
_atom_site_fract_x
_atom_site_fract_y
_atom_site_fract_z
_atom_site_occupancy
Er1 Er 0.000 0.000 0.000 1
Er2 Er 0.094 0.375 0.789 1
Er3 Er 0.174 0.124 0.594 1
Er4 Er 0.269 0.500 0.385 1
Er5 Er 0.384 0.229 0.192 1
Zn1 Zn 0.384 0.000 0.204 1
Cu1 Cu 0.384 0.305 0.693 1
```

=====

# 11
Here is a relaxed UZnH crystal from the Alexandria database. Energies are from GGA-PBE.

VASP energy, eV/atom: -5.07

CIF file:
```
data_UZnH
_space_group_name_H-M_alt 'F m m 2'
_space_group_IT_number 42
_space_group_name_Hall 'F 2 -2'
_cell_length_a 2.848
_cell_length_b 4.957
_cell_length_c 12.016
_cell_angle_alpha 90.00
_cell_angle_beta 90.00
_cell_angle_gamma 90.00
loop_
_atom_site_label
_atom_site_type_symbol
_atom_site_fract_x
_atom_site_fract_y
_atom_site_fract_z
_atom_site_occupancy
U1 U 0.000 0.000 0.000 1
Zn1 Zn 0.000 0.000 0.277 1
H1 H 0.000 0.000 0.641 1
```

=====

# 12
Here is a relaxed ZrCSeN2 crystal from the Alexandria database. Energies are from GGA-PBE.

Energy relative to the elements, uncorrected, kJ per mole of atoms: 135.1
Relative energy among the computed polymorphs, meV/atom: 0

CIF file:
```
data_ZrCSeN2
_space_group_name_H-M_alt 'P 4/m m m'
_space_group_IT_number 123
_space_group_name_Hall '-P 4 2'
_cell_length_a 3.839
_cell_length_b 3.839
_cell_length_c 3.946
_cell_angle_alpha 90.00
_cell_angle_beta 90.00
_cell_angle_gamma 90.00
loop_
_atom_site_label
_atom_site_type_symbol
_atom_site_fract_x
_atom_site_fract_y
_atom_site_fract_z
_atom_site_occupancy
Zr1 Zr 0.000 0.000 0.000 1
C1 C 0.500 0.500 0.500 1
Se1 Se 0.500 0.500 0.000 1
N1 N 0.000 0.500 0.500 1
```

=====

# 13
Here is a relaxed TlBi4H2 crystal from the Alexandria database. Energies are from GGA-PBE.

VASP energy, eV/atom: -3.30

CIF file:
```
data_TlBi4H2
_space_group_name_H-M_alt 'P 1 2/m 1'
_space_group_IT_number 10
_cell_length_a 5.202
_cell_length_b 4.553
_cell_length_c 8.481
_cell_angle_alpha 90.00
_cell_angle_beta 92.09
_cell_angle_gamma 90.00
loop_
_space_group_symop_operation_xyz
'x,y,z'
'-x,-y,-z'
'-x,y,-z'
'x,-y,z'
loop_
_atom_site_label
_atom_site_type_symbol
_atom_site_fract_x
_atom_site_fract_y
_atom_site_fract_z
_atom_site_occupancy
Tl1 Tl 0.000 0.000 0.000 1
Bi1 Bi 0.308 0.000 0.345 1
Bi2 Bi 0.353 0.500 0.783 1
H1 H 0.132 0.500 0.606 1
```

=====

# 14
Here is a relaxed BaEu2Dy crystal from the Alexandria database. Energies are from GGA-PBE.

E_form, eV per atom: 0.12
Relative energy among the computed polymorphs, meV/atom: 0

CIF file:
```
data_BaEu2Dy
_space_group_name_H-M_alt 'P 4/m m m'
_space_group_IT_number 123
_space_group_name_Hall '-P 4 2'
_cell_length_a 3.960
_cell_length_b 3.960
_cell_length_c 11.052
_cell_angle_alpha 90.00
_cell_angle_beta 90.00
_cell_angle_gamma 90.00
loop_
_atom_site_label
_atom_site_type_symbol
_atom_site_fract_x
_atom_site_fract_y
_atom_site_fract_z
_atom_site_occupancy
Ba1 Ba 0.000 0.000 0.000 1
Eu1 Eu 0.500 0.500 0.285 1
Dy1 Dy 0.000 0.000 0.500 1
```

=====

# 15
Here is a relaxed NbGeI2O crystal from the Alexandria database. Energies are from GGA-PBE.

Energy relative to the elements, uncorrected, kJ per mole of atoms: -34.2
Relative energy among the computed polymorphs, meV/atom: 0

CIF file:
```
data_NbGeI2O
_space_group_name_H-M_alt 'P 4/m m m'
_space_group_IT_number 123
_space_group_name_Hall '-P 4 2'
_cell_length_a 5.819
_cell_length_b 5.819
_cell_length_c 3.914
_cell_angle_alpha 90.00
_cell_angle_beta 90.00
_cell_angle_gamma 90.00
loop_
_atom_site_label
_atom_site_type_symbol
_atom_site_fract_x
_atom_site_fract_y
_atom_site_fract_z
_atom_site_occupancy
Nb1 Nb 0.000 0.000 0.000 1
Ge1 Ge 0.500 0.500 0.500 1
I1 I 0.000 0.500 0.000 1
O1 O 0.000 0.000 0.500 1
```

=====

# 16
Here is a relaxed Ce3SiTc2 crystal from the Alexandria database. Energies are from GGA-PBE.

Energy relative to the elements, uncorrected, kJ per mole of atoms: -12.4
Relative energy among the computed polymorphs, meV/atom: 191

CIF file:
```
data_Ce3SiTc2
_space_group_name_H-M_alt 'P m m n'
_space_group_IT_number 59
_cell_length_a 5.118
_cell_length_b 15.411
_cell_length_c 3.219
_cell_angle_alpha 90.00
_cell_angle_beta 90.00
_cell_angle_gamma 90.00
loop_
_space_group_symop_operation_xyz
'x,y,z'
'-x,-y,-z'
'-x+1/2,-y+1/2,z'
'x+1/2,y+1/2,-z'
'x+1/2,-y,-z'
'-x+1/2,y,z'
'-x,y+1/2,-z'
'x,-y+1/2,z'
loop_
_atom_site_label
_atom_site_type_symbol
_atom_site_fract_x
_atom_site_fract_y
_atom_site_fract_z
_atom_site_occupancy
Ce1 Ce 0.250 0.079 0.148 1
Ce2 Ce 0.250 0.750 0.849 1
Si1 Si 0.250 0.250 0.653 1
Tc1 Tc 0.250 0.593 0.622 1
```

=====

# 17
Here is a relaxed Ac3TlPd crystal from the Alexandria database. Energies are from GGA-PBE.

E_form, eV per atom: -0.24
Relative energy among the computed polymorphs, meV/atom: 183

CIF file:
```
data_Ac3TlPd
_space_group_name_H-M_alt 'P m -3 m'
_space_group_IT_number 221
_space_group_name_Hall '-P 4 2 3'
_cell_length_a 5.873
_cell_length_b 5.873
_cell_length_c 5.873
_cell_angle_alpha 90.00
_cell_angle_beta 90.00
_cell_angle_gamma 90.00
loop_
_atom_site_label
_atom_site_type_symbol
_atom_site_fract_x
_atom_site_fract_y
_atom_site_fract_z
_atom_site_occupancy
Ac1 Ac 0.000 0.000 0.500 1
Tl1 Tl 0.500 0.500 0.500 1
Pd1 Pd 0.000 0.000 0.000 1
```

=====

# 18
Here is a relaxed BaIrW crystal from the Alexandria database. Energies are from GGA-PBE.

E_form, eV per atom: 2.51
Relative energy among the computed polymorphs, meV/atom: 2157

CIF file:
```
data_BaIrW
_space_group_name_H-M_alt 'F -4 3 m'
_space_group_IT_number 216
_space_group_name_Hall 'F -4 2 3'
_cell_length_a 6.666
_cell_length_b 6.666
_cell_length_c 6.666
_cell_angle_alpha 90.00
_cell_angle_beta 90.00
_cell_angle_gamma 90.00
loop_
_atom_site_label
_atom_site_type_symbol
_atom_site_fract_x
_atom_site_fract_y
_atom_site_fract_z
_atom_site_occupancy
Ba1 Ba 0.000 0.000 0.000 1
Ir1 Ir 0.250 0.250 0.750 1
W1 W 0.250 0.250 0.250 1
```

=====

# 19
Here is a relaxed Rb3Ce3NpSe8 crystal from the Alexandria database. Energies are from GGA-PBE.

Energy relative to the elements, uncorrected, kJ per mole of atoms: -152.3

CIF file:
```
data_Rb3Ce3NpSe8
_space_group_name_H-M_alt 'R -3 m'
_space_group_IT_number 166
_space_group_name_Hall '-R 3 2"'
_cell_length_a 8.6586
_cell_length_b 8.6586
_cell_length_c 24.2803
_cell_angle_alpha 90.00
_cell_angle_beta 90.00
_cell_angle_gamma 120.00
loop_
_atom_site_label
_atom_site_type_symbol
_atom_site_fract_x
_atom_site_fract_y
_atom_site_fract_z
_atom_site_occupancy
Rb1 Rb 0.0000 0.5000 0.0000 1
Ce1 Ce 0.0000 0.5000 0.5000 1
Np1 Np 0.0000 0.0000 0.5000 1
Se1 Se 0.0000 0.0000 0.2329 1
Se2 Se 0.0042 0.5021 0.2303 1
```